Entry 1:
The following is a PBE calculation of Sc4HgPbN after structural relaxation, from Alexandria via LeMat-Bulk.

The magnetization is 0.0 μB per formula unit. For the volume, the calculation gives 20.6 Å³ per atom. The value obtained for the formation energy without anion corrections is -827.2 meV per atom. The density is 6.91 Mg/m³.

The structure belongs to space group Cmcm (No. 63); the cell edges are 6.238, 14.864 and 6.233 Å and the angles 90.00°, 90.00° and 90.00°. The distinct sites, in fractional coordinates, are Sc at (0.000, 0.088, 0.250), Sc at (0.000, 0.404, 0.250), Sc at (0.250, 0.250, 0.000), Hg at (0.000, 0.112, 0.750), Pb at (0.000, 0.396, 0.750) and N at (0.000, 0.249, 0.250).



Entry 2:
The following is a PBE calculation of Tb8CoNi2 after structural relaxation, from Alexandria via LeMat-Bulk.

The magnetization is 0.0 μB per formula unit. For the volume, the calculation gives 27.6 Å³ per atom. The density is 7.91 Mg/m³. The excess energy over the best structure of this formula in the dataset is 0.064 eV/atom.

The structure belongs to space group C2/m (No. 12); the cell edges are 22.538, 3.688 and 7.475 Å and the angles 90.00°, 101.82° and 90.00°. The distinct sites, in fractional coordinates, are Tb at (0.054, 0.000, 0.231), Tb at (0.091, 0.500, 0.806), Tb at (0.183, 0.500, 0.491), Tb at (0.209, 0.000, 0.121), Co at (0.000, 0.500, 0.000) and Ni at (0.191, 0.000, 0.763).



Entry 3:
The following is a PBE calculation of LiPm2Tm after structural relaxation, from Alexandria via LeMat-Bulk.

The magnetization is 0.0 μB per formula unit. For the volume, the calculation gives 29.9 Å³ per atom. The density is 6.47 Mg/m³. The excess energy over the best structure of this formula in the dataset is 0.000 eV/atom.

The structure belongs to space group P4/mmm (No. 123); the cell edges are 3.634, 3.634 and 9.058 Å and the angles 90.00°, 90.00° and 90.00°. The distinct sites, in fractional coordinates, are Li at (0.000, 0.000, 0.000), Pm at (0.500, 0.500, 0.231) and Tm at (0.000, 0.000, 0.500).



Entry 4:
The following is a PBE calculation of Na2GaHg9 after structural relaxation, from Alexandria via LeMat-Bulk.

The magnetization is 0.0 μB per formula unit. For the volume, the calculation gives 25.5 Å³ per atom. Its total energy is -0.8024 eV per atom. The density is 10.42 Mg/m³.

The structure belongs to space group P4/mmm (No. 123); the cell edges are 4.814, 4.814 and 13.206 Å and the angles 90.00°, 90.00° and 90.00°. The distinct sites, in fractional coordinates, are Na at (0.000, 0.000, 0.173), Ga at (0.000, 0.000, 0.500), Hg at (0.000, 0.500, 0.000), Hg at (0.000, 0.500, 0.341), Hg at (0.500, 0.500, 0.173) and Hg at (0.500, 0.500, 0.500).



Entry 5:
The following is a PBE calculation of NiOs2Br after structural relaxation, from Alexandria via LeMat-Bulk.

The magnetization is 0.0 μB per formula unit. For the volume, the calculation gives 15.6 Å³ per atom. The value obtained for the formation energy without anion corrections is 1120.9 meV per atom. The density is 13.81 Mg/m³. The excess energy over the best structure of this formula in the dataset is 0.493 eV/atom.

The structure belongs to space group Imm2 (No. 44); the cell edges are 2.792, 4.476 and 9.987 Å and the angles 90.00°, 90.00° and 90.00°. The distinct sites, in fractional coordinates, are Ni at (0.000, 0.000, 0.000), Os at (0.000, 0.000, 0.460), Os at (0.000, 0.500, 0.747) and Br at (0.000, 0.500, 0.202).



Entry 6:
The following is a PBE calculation of Li4AlAg5 after structural relaxation, from Alexandria via LeMat-Bulk.

The magnetization is 0.0 μB per formula unit. For the volume, the calculation gives 16.9 Å³ per atom. The density is 5.85 Mg/m³. The excess energy over the best structure of this formula in the dataset is 0.132 eV/atom.

The structure belongs to space group I4 (No. 79); the cell edges are 8.087, 8.087 and 5.159 Å and the angles 90.00°, 90.00° and 90.00°. The distinct sites, in fractional coordinates, are Li at (0.135, 0.244, 0.000), Al at (0.000, 0.000, 0.291), Ag at (0.000, 0.000, 0.769) and Ag at (0.047, 0.330, 0.495).



Entry 7:
The following is a PBE calculation of Th2ScPd after structural relaxation, from Alexandria via LeMat-Bulk.

The magnetization is 0.0 μB per formula unit. For the volume, the calculation gives 26.5 Å³ per atom. The density is 9.64 Mg/m³. The excess energy over the best structure of this formula in the dataset is 0.094 eV/atom.

The structure belongs to space group P4/mmm (No. 123); the cell edges are 3.690, 3.690 and 7.782 Å and the angles 90.00°, 90.00° and 90.00°. The distinct sites, in fractional coordinates, are Th at (0.000, 0.000, 0.223), Sc at (0.500, 0.500, 0.500) and Pd at (0.500, 0.500, 0.000).



Entry 8:
The following is a PBE calculation of Ho5Hg2Rh after structural relaxation, from Alexandria via LeMat-Bulk.

The magnetization is 0.0 μB per formula unit. For the volume, the calculation gives 25.9 Å³ per atom. The density is 10.64 Mg/m³. The excess energy over the best structure of this formula in the dataset is 0.000 eV/atom.

The structure belongs to space group Pbam (No. 55); the cell edges are 7.060, 11.981 and 4.903 Å and the angles 90.00°, 90.00° and 90.00°. The distinct sites, in fractional coordinates, are Ho at (0.000, 0.000, 0.000), Ho at (0.141, 0.292, 0.000), Ho at (0.175, 0.587, 0.500), Hg at (0.086, 0.840, 0.500) and Rh at (0.000, 0.500, 0.000).